1.
The following is a PBE calculation of an optimized crystal structure of AcAgGe4, from the Alexandria database.

Lattice parameters (Å, degrees): 5.755 5.755 5.755 60.00 60.00 60.00
Sites, in units of the cell vectors:
Ac 0.250 0.250 0.250
Ge 0.626 0.626 0.121
Ge 0.626 0.121 0.626
Ge 0.626 0.626 0.626
Ge 0.121 0.626 0.626
Ag 0.000 0.000 0.000

Output
Space group: No. 216
Calculated total energy, eV for the cell shown: -26.22
M_tot, μB/atom: 0.000


2.
The following is a PBE calculation of an optimized crystal structure of Ac12AgGe6, from the Alexandria database.

Lattice parameters (Å, degrees): 9.269 9.269 9.269 101.14 101.14 101.14
Sites, in units of the cell vectors:
Ac 0.818 0.588 0.444
Ac 0.444 0.818 0.588
Ac 0.588 0.444 0.818
Ac 0.182 0.412 0.556
Ac 0.556 0.182 0.412
Ac 0.412 0.556 0.182
Ac 0.072 0.940 0.328
Ac 0.060 0.672 0.928
Ac 0.672 0.928 0.060
Ac 0.928 0.060 0.672
Ac 0.940 0.328 0.072
Ac 0.328 0.072 0.940
Ag 0.000 0.000 0.000
Ge 0.683 0.867 0.383
Ge 0.617 0.317 0.133
Ge 0.133 0.617 0.317
Ge 0.317 0.133 0.617
Ge 0.383 0.683 0.867
Ge 0.867 0.383 0.683

Output
Space group: No. 148
Calculated total energy, eV for the cell shown: -87.06
M_tot, μB/atom: 0.036


| no. | ΔH_f (0 K) (meV per atom) |
| --- | --- |
| 1 | -132 |
| 2 | -379 |